1.
Below is ZrOsRu after structural relaxation, with properties calculated at the PBE level.

Properties
- Total moment: 0.0 μB per cell
- Volume: 16.9 A^3/atom
- Energy of formation: -341.3 meV per atom
- Relative energy among the computed polymorphs: 0 meV/atom

Structure (extended XYZ):
```
6
Lattice="-2.586 2.641 3.708 2.586 -2.641 3.708 2.586 2.641 -3.708" Properties=species:S:1:pos:R:3 pbc="T T T"
Zr 0.000 1.320 0.916
Zr 2.586 1.320 2.793
Os 1.293 1.320 -1.854
Os 1.293 -1.320 1.854
Ru 2.586 0.000 0.000
Ru 0.000 0.000 3.708
```


2.
Below is TlCuSn after structural relaxation, with properties calculated at the PBE level.

Properties
- Total moment: 0.0 μB per cell
- Volume: 23.9 A^3/atom
- Energy of formation: 49.2 meV per atom

Structure (extended XYZ):
```
6
Lattice="3.530 0.000 0.000 0.135 4.078 0.000 1.475 -0.038 9.981" Properties=species:S:1:pos:R:3 pbc="T T T"
Tl 0.879 1.001 1.194
Tl 4.260 3.039 8.786
Cu 0.777 1.001 4.255
Cu 4.362 3.040 5.726
Sn 2.521 1.002 6.503
Sn 2.618 3.038 3.477
```